[1]
# Li3TcAu

A geometry-optimized Li3TcAu structure (PBE, Alexandria).

The structure belongs to space group Pm-3m (No. 221); the cell edges are 4.6910, 4.6910 and 4.6910 Å and the angles 90.00°, 90.00° and 90.00°. The distinct sites, in fractional coordinates, are Li at (0.0000, 0.0000, 0.5000), Tc at (0.5000, 0.5000, 0.5000) and Au at (0.0000, 0.0000, 0.0000).

[2]
# VSn2Pt9

A geometry-optimized VSn2Pt9 structure (PBE, Alexandria).

The structure belongs to space group P4/mmm (No. 123); the cell edges are 4.0071, 4.0071 and 12.0853 Å and the angles 90.00°, 90.00° and 90.00°. The distinct sites, in fractional coordinates, are V at (0.0000, 0.0000, 0.0000), Sn at (0.0000, 0.0000, 0.3298), Pt at (0.0000, 0.5000, 0.1560), Pt at (0.0000, 0.5000, 0.5000), Pt at (0.5000, 0.5000, 0.0000) and Pt at (0.5000, 0.5000, 0.3287).

no.,formation enthalpy at 0 K (eV/atom)
1,0.6939
2,-0.4105